(w)
DFT (PBEsol) results for a relaxed ZnHgCl2 crystal.

Calculated values
- crystal system = cubic
- symmetry = F-43m, No. 216

a b c (Å): 4.841 4.841 4.841
angles (deg): 60.00 60.00 60.00
Sites, in units of the cell vectors:
Zn: 0.250 0.250 0.250
Hg: 0.500 0.500 0.500
Cl: 0.000 0.000 0.000
Cl: 0.750 0.750 0.750

***

(x)
DFT (PBEsol) results for a relaxed ZnHgCl2 crystal.

Calculated values
- crystal system = tetragonal
- symmetry = I-4m2, No. 119

a b c (Å): 3.847 3.847 6.698
angles (deg): 106.69 106.69 90.00
Sites, in units of the cell vectors:
Zn: 0.250 0.750 0.500
Cl: 0.000 0.000 0.000
Cl: 0.750 0.250 0.500
Hg: 0.500 0.500 0.000

***

Which of them is the least stable? Correct choice: (w).

***

(w)
DFT (PBEsol) results for a relaxed ZnHg2Cl crystal.

Calculated values
- crystal system = monoclinic
- symmetry = C2/m, No. 12

a b c (Å): 3.723 3.705 7.714
angles (deg): 76.23 76.04 59.84
Sites, in units of the cell vectors:
Hg: 0.743 0.241 0.274
Hg: 0.257 0.759 0.726
Cl: 0.500 0.000 0.000
Zn: 0.000 0.500 0.500

***

(x)
DFT (PBEsol) results for a relaxed ZnHg2Cl crystal.

Calculated values
- crystal system = tetragonal
- symmetry = P4/mmm, No. 123

a b c (Å): 3.285 3.285 7.566
angles (deg): 90.00 90.00 90.00
Sites, in units of the cell vectors:
Hg: 0.000 0.000 0.769
Hg: 0.000 0.000 0.231
Cl: 0.500 0.500 0.500
Zn: 0.500 0.500 0.000

***

Which of them is the least stable? Correct choice: (x).

***

(w)
DFT (PBEsol) results for a relaxed ZrHgCl2 crystal.

Calculated values
- crystal system = orthorhombic
- symmetry = Pmmm, No. 47

a b c (Å): 3.318 4.502 5.344
angles (deg): 90.00 90.00 90.00
Sites, in units of the cell vectors:
Cl: 0.000 0.000 0.000
Cl: 0.500 0.000 0.500
Hg: 0.500 0.500 0.000
Zr: 0.000 0.500 0.500

***

(x)
DFT (PBEsol) results for a relaxed ZrHgCl2 crystal.

Calculated values
- crystal system = monoclinic
- symmetry = C2/m, No. 12

a b c (Å): 3.224 5.494 5.539
angles (deg): 118.71 105.34 93.06
Sites, in units of the cell vectors:
Cl: 0.000 0.000 0.500
Cl: 0.500 0.500 0.500
Zr: 0.000 0.000 0.000
Hg: 0.500 0.500 0.000

***

(y)
DFT (PBEsol) results for a relaxed ZrHgCl2 crystal.

Calculated values
- crystal system = cubic
- symmetry = F-43m, No. 216

a b c (Å): 4.889 4.889 4.889
angles (deg): 60.00 60.00 60.00
Sites, in units of the cell vectors:
Cl: 0.750 0.750 0.750
Cl: 0.000 0.000 0.000
Zr: 0.250 0.250 0.250
Hg: 0.500 0.500 0.500

***

Which of them is the least stable? Correct choice: (y).

***

(w)
DFT (PBEsol) results for a relaxed ZrHgCl2 crystal.

Calculated values
- crystal system = orthorhombic
- symmetry = Imm2, No. 44

a b c (Å): 3.159 4.343 7.299
angles (deg): 107.31 102.50 90.00
Sites, in units of the cell vectors:
Hg: 0.427 0.427 0.854
Zr: 0.730 0.230 0.461
Cl: 0.259 0.759 0.517
Cl: 0.084 0.084 0.168

***

(x)
DFT (PBEsol) results for a relaxed ZrHgCl2 crystal.

Calculated values
- crystal system = trigonal
- symmetry = R-3m, No. 166

a b c (Å): 3.256 3.256 10.063
angles (deg): 80.69 80.69 60.00
Sites, in units of the cell vectors:
Zr: 0.000 0.000 0.000
Cl: 0.727 0.727 0.819
Cl: 0.273 0.273 0.181
Hg: 0.500 0.500 0.500

***

Which of them is the least stable? Correct choice: (w).

***

(w)
DFT (PBEsol) results for a relaxed ZrHgCl crystal.

Calculated values
- crystal system = cubic
- symmetry = F-43m, No. 216

a b c (Å): 4.501 4.501 4.501
angles (deg): 60.00 60.00 60.00
Sites, in units of the cell vectors:
Hg: 0.000 0.000 0.000
Cl: 0.250 0.250 0.250
Zr: 0.500 0.500 0.500

***

(x)
DFT (PBEsol) results for a relaxed ZrHgCl crystal.

Calculated values
- crystal system = hexagonal
- symmetry = P-6m2, No. 187

a b c (Å): 3.457 4.502 4.502
angles (deg): 120.00 90.00 90.00
Sites, in units of the cell vectors:
Zr: 0.500 0.667 0.333
Hg: 0.000 0.333 0.667
Cl: 0.500 0.000 0.000

***

Which of them is the least stable? Correct choice: (w).

***

(w)
DFT (PBEsol) results for a relaxed LiTeI2Cl crystal.

Calculated values
- crystal system = tetragonal
- symmetry = P4/mmm, No. 123

a b c (Å): 5.291 5.732 5.732
angles (deg): 90.00 90.00 90.00
Sites, in units of the cell vectors:
Li: 0.500 0.500 0.500
I: 0.000 0.500 0.000
I: 0.000 0.000 0.500
Te: 0.500 0.000 0.000
Cl: 0.000 0.000 0.000

***

(x)
DFT (PBEsol) results for a relaxed LiTeI2Cl crystal.

Calculated values
- crystal system = tetragonal
- symmetry = P4/mmm, No. 123

a b c (Å): 5.104 5.104 5.196
angles (deg): 90.00 90.00 90.00
Sites, in units of the cell vectors:
I: 0.000 0.500 0.000
I: 0.500 0.000 0.000
Te: 0.000 0.000 0.500
Li: 0.000 0.000 0.000
Cl: 0.500 0.500 0.500

***

Which of them is the least stable? Correct choice: (w).

***

(w)
DFT (PBEsol) results for a relaxed TePtI2Cl crystal.

Calculated values
- crystal system = tetragonal
- symmetry = P4/mmm, No. 123

a b c (Å): 4.880 5.912 5.912
angles (deg): 90.00 90.00 90.00
Sites, in units of the cell vectors:
I: 0.000 0.500 0.000
I: 0.000 0.000 0.500
Pt: 0.500 0.000 0.000
Te: 0.000 0.000 0.000
Cl: 0.500 0.500 0.500

***

(x)
DFT (PBEsol) results for a relaxed TePtI2Cl crystal.

Calculated values
- crystal system = tetragonal
- symmetry = P4/mmm, No. 123

a b c (Å): 5.458 5.458 5.161
angles (deg): 90.00 90.00 90.00
Sites, in units of the cell vectors:
I: 0.000 0.500 0.000
I: 0.500 0.000 0.000
Pt: 0.500 0.500 0.500
Te: 0.000 0.000 0.500
Cl: 0.000 0.000 0.000

***

Which of them is the least stable? Correct choice: (x).

***

(w)
DFT (PBEsol) results for a relaxed Rb2ICl crystal.

Calculated values
- crystal system = cubic
- symmetry = Fm-3m, No. 225

a b c (Å): 5.885 5.885 5.885
angles (deg): 60.00 60.00 60.00
Sites, in units of the cell vectors:
I: 0.500 0.500 0.500
Rb: 0.750 0.750 0.750
Rb: 0.250 0.250 0.250
Cl: 0.000 0.000 0.000

***

(x)
DFT (PBEsol) results for a relaxed Rb2ICl crystal.

Calculated values
- crystal system = tetragonal
- symmetry = I-42d, No. 122

a b c (Å): 7.914 7.914 7.914
angles (deg): 103.24 112.68 112.68
Sites, in units of the cell vectors:
Rb: 0.038 0.163 0.625
Rb: 0.962 0.587 0.125
Rb: 0.538 0.375 0.413
Rb: 0.462 0.875 0.837
I: 0.500 0.750 0.250
I: 0.000 0.000 0.000
Cl: 0.500 0.250 0.750
Cl: 0.000 0.500 0.500

***

Which of them is the least stable? Correct choice: (x).